Compound: Na2TlCoN
Source: the Alexandria database
Functional: PBE
Structure: relaxed

Results
The value obtained for the calculated total energy is -20.31 eV per cell. Its calculated volume is 18.4 Å³ per atom. Its space group is P4/mmm, No. 123. The energy relative to the elements, uncorrected comes out at 0.02 eV per atom. Its density is 5.84 Mg/m³. The calculation puts the total magnetization at 0.0 μB per formula unit.

abc: 5.1192 5.1192 3.5096
angles: 90.00 90.00 90.00
Closest atoms and distances in Å follow each position.
Element x y z (fractional)
Na  0.0000  0.5000  0.0000  2 N 2.56
Na  0.5000  0.0000  0.0000  2 N 2.56
Tl  0.5000  0.5000  0.5000  8 Na 3.10
Co  0.0000  0.0000  0.5000  2 N 1.75
N  0.0000  0.0000  0.0000  2 Co 1.75